No. 1
The following is a DFT calculation (PBE-GGA) of a relaxed BaGa2F crystal.

abc: 5.2430 5.2430 5.2430
angles: 60.00 60.00 60.00
Closest atoms and distances in Å follow each position.
Fractional positions:
Ga1 0.7500 0.7500 0.7500  4 Ba 3.21, 4 F 3.21
F1 0.0000 0.0000 0.0000  8 Ga 3.21
Ga2 0.2500 0.2500 0.2500  4 Ba 3.21, 4 F 3.21
Ba1 0.5000 0.5000 0.5000  8 Ga 3.21

Values from the calculation:
For the formation energy without anion corrections, the calculation gives -0.4698 eV per atom. The value obtained for the excess energy over the best structure of this formula in the dataset is 903 meV per atom. The density of states at the Fermi level is 1.014 states/eV per atom.

No. 2
The following is a DFT calculation (PBE-GGA) of a relaxed BaGaF2 crystal.

abc: 7.2344 7.2344 7.2344
angles: 34.43 34.43 34.43
Closest atoms and distances in Å follow each position.
Fractional positions:
F1 0.8778 0.8778 0.8778  1 Ga 2.49, 3 Ba 2.63
Ga1 0.0000 0.0000 0.0000  2 F 2.49
Ba1 0.5000 0.5000 0.5000  6 F 2.63
F2 0.1222 0.1222 0.1222  1 Ga 2.49, 3 Ba 2.63

Values from the calculation:
For the formation energy without anion corrections, the calculation gives -2.4702 eV per atom. The value obtained for the excess energy over the best structure of this formula in the dataset is 0 meV per atom. The density of states at the Fermi level is 0.230 states/eV per atom.

No. 3
The following is a DFT calculation (PBE-GGA) of a relaxed BaGa3F crystal.

abc: 6.3095 6.3095 6.3095
angles: 90.00 90.00 90.00
Closest atoms and distances in Å follow each position.
Fractional positions:
Ba1 0.0000 0.0000 0.0000  6 Ga 3.15
Ga1 0.5000 0.0000 0.0000  2 Ba 3.15
F1 0.5000 0.5000 0.5000  12 Ga 4.46
Ga2 0.0000 0.5000 0.0000  2 Ba 3.15
Ga3 0.0000 0.0000 0.5000  2 Ba 3.15

Values from the calculation:
For the formation energy without anion corrections, the calculation gives 0.5941 eV per atom. The value obtained for the excess energy over the best structure of this formula in the dataset is 1184 meV per atom. The density of states at the Fermi level is 1.354 states/eV per atom.

No. 4
The following is a DFT calculation (PBE-GGA) of a relaxed Ba3Ga5F12 crystal.

abc: 12.7656 12.7656 12.7656
angles: 109.47 109.47 109.47
Closest atoms and distances in Å follow each position.
Fractional positions:
Ga1 0.6250 0.8750 0.2500  4 F 2.32
Ba1 0.7500 0.8750 0.6250  8 F 2.75-2.78
F1 0.0844 0.1718 0.2164  2 Ga 2.32-2.45
F2 0.9554 0.5874 0.1718  2 Ga 2.32-2.45
F3 0.5844 0.8680 0.4126  2 Ga 2.32-2.45
F4 0.0874 0.1718 0.4554  2 Ga 2.32-2.45
F5 0.9156 0.0874 0.6320  2 Ga 2.32-2.45
F6 0.5844 0.7164 0.6718  2 Ga 2.32-2.45
Ga2 0.3750 0.2500 0.1250  4 F 2.32
Ba2 0.2500 0.6250 0.8750  8 F 2.75-2.78
F7 0.5874 0.9554 0.6718  2 Ga 2.32-2.45
Ga3 0.3750 0.1250 0.7500  4 F 2.32
F8 0.9156 0.8282 0.7836  2 Ga 2.32-2.45
F9 0.2164 0.5446 0.6320  2 Ga 2.32-2.45
F10 0.1320 0.7164 0.5446  2 Ga 2.32-2.45
F11 0.6320 0.5874 0.9156  2 Ga 2.32-2.45
F12 0.4126 0.3680 0.5844  2 Ga 2.32-2.45
Ga4 0.5000 0.5000 0.0000  6 F 2.45
Ga5 0.0000 0.5000 0.5000  6 F 2.45
F13 0.2836 0.4156 0.8282  2 Ga 2.32-2.45
Ga6 0.0000 0.5000 0.0000  6 F 2.45
F14 0.7164 0.5844 0.1718  2 Ga 2.32-2.45
Ga7 0.1250 0.7500 0.3750  4 F 2.32
F15 0.0446 0.6320 0.7164  2 Ga 2.32-2.45
Ba3 0.1250 0.8750 0.7500  8 F 2.75-2.78
Ba4 0.8750 0.7500 0.1250  8 F 2.75-2.78
Ba5 0.6250 0.2500 0.3750  8 F 2.75-2.78
F16 0.4156 0.1320 0.5874  2 Ga 2.32-2.45
F17 0.1718 0.0874 0.9554  2 Ga 2.32-2.45
Ga8 0.8750 0.6250 0.7500  4 F 2.32
F18 0.0446 0.4126 0.8282  2 Ga 2.32-2.45
Ga9 0.6250 0.7500 0.8750  4 F 2.32
Ba6 0.8750 0.1250 0.2500  8 F 2.75-2.78
F19 0.1320 0.4156 0.0874  2 Ga 2.32-2.45
F20 0.5446 0.3282 0.9126  2 Ga 2.32-2.45
Ga10 0.0000 0.0000 0.0000  6 F 2.45
Ga11 0.7500 0.1250 0.8750  4 F 2.32
F21 0.8680 0.5844 0.9126  2 Ga 2.32-2.45
F22 0.9554 0.3680 0.2836  2 Ga 2.32-2.45
F23 0.6718 0.4554 0.5874  2 Ga 2.32-2.45
Ga12 0.7500 0.6250 0.3750  4 F 2.32
Ba7 0.1250 0.2500 0.8750  8 F 2.75-2.78
Ba8 0.6250 0.3750 0.7500  8 F 2.75-2.78
F24 0.7164 0.1320 0.0446  2 Ga 2.32-2.45
F25 0.8282 0.9156 0.2836  2 Ga 2.32-2.45
F26 0.4156 0.2836 0.3282  2 Ga 2.32-2.45
F27 0.9126 0.0844 0.8680  2 Ga 2.32-2.45
Ga13 0.5000 0.5000 0.5000  6 F 2.45
F28 0.4126 0.0446 0.3282  2 Ga 2.32-2.45
F29 0.2164 0.6718 0.0844  2 Ga 2.32-2.45
F30 0.6718 0.2164 0.5844  2 Ga 2.32-2.45
F31 0.1718 0.0844 0.7164  2 Ga 2.32-2.45
Ga14 0.5000 0.0000 0.5000  6 F 2.45
Ga15 0.8750 0.2500 0.6250  4 F 2.32
F32 0.3680 0.9554 0.7836  2 Ga 2.32-2.45
Ga16 0.5000 0.0000 0.0000  6 F 2.45
F33 0.5446 0.2164 0.1320  2 Ga 2.32-2.45
F34 0.5874 0.6320 0.4156  2 Ga 2.32-2.45
F35 0.3680 0.4126 0.0844  2 Ga 2.32-2.45
Ga17 0.2500 0.8750 0.1250  4 F 2.32
F36 0.7836 0.3282 0.9156  2 Ga 2.32-2.45
F37 0.3282 0.5446 0.4126  2 Ga 2.32-2.45
Ga18 0.1250 0.3750 0.2500  4 F 2.32
Ba9 0.3750 0.7500 0.6250  8 F 2.75-2.78
F38 0.4554 0.6718 0.0874  2 Ga 2.32-2.45
F39 0.2836 0.8680 0.9554  2 Ga 2.32-2.45
F40 0.6320 0.0446 0.2164  2 Ga 2.32-2.45
F41 0.0844 0.9126 0.3680  2 Ga 2.32-2.45
F42 0.8680 0.2836 0.4554  2 Ga 2.32-2.45
F43 0.7836 0.4554 0.3680  2 Ga 2.32-2.45
F44 0.3282 0.7836 0.4156  2 Ga 2.32-2.45
F45 0.4554 0.7836 0.8680  2 Ga 2.32-2.45
Ga19 0.0000 0.0000 0.5000  6 F 2.45
Ba10 0.7500 0.3750 0.1250  8 F 2.75-2.78
F46 0.8282 0.9126 0.0446  2 Ga 2.32-2.45
Ba11 0.3750 0.6250 0.2500  8 F 2.75-2.78
Ba12 0.2500 0.1250 0.3750  8 F 2.75-2.78
Ga20 0.2500 0.3750 0.6250  4 F 2.32
F47 0.9126 0.8282 0.5446  2 Ga 2.32-2.45
F48 0.0874 0.9156 0.1320  2 Ga 2.32-2.45

Values from the calculation:
For the formation energy without anion corrections, the calculation gives -2.5520 eV per atom. The density of states at the Fermi level is 0.302 states/eV per atom.

No. 5
The following is a DFT calculation (PBE-GGA) of a relaxed Ba4Ga2F crystal.

abc: 5.5957 5.5957 9.1933
angles: 72.28 72.28 90.00
Closest atoms and distances in Å follow each position.
Fractional positions:
F1 0.0000 0.0000 0.0000  4 Ba 2.80
Ba1 0.5000 0.0000 0.0000  2 F 2.80
Ga1 0.3864 0.3864 0.2272  5 Ba 3.26-3.37
Ba2 0.1899 0.1899 0.6202  1 F 3.15, 1 Ga 3.26
Ga2 0.6136 0.6136 0.7728  5 Ba 3.26-3.37
Ba3 0.8101 0.8101 0.3798  1 F 3.15, 1 Ga 3.26
Ba4 0.0000 0.5000 0.0000  2 F 2.80

Values from the calculation:
For the formation energy without anion corrections, the calculation gives -0.9650 eV per atom. The density of states at the Fermi level is 0.881 states/eV per atom.

No. 6
The following is a DFT calculation (PBE-GGA) of a relaxed Ba2GaF6 crystal.

abc: 5.6526 5.6526 11.7250
angles: 90.00 90.00 90.00
Closest atoms and distances in Å follow each position.
Fractional positions:
F1 0.1770 0.8230 0.3539  1 Ga 2.22
F2 0.3230 0.3230 0.1461  1 Ga 2.22
F3 0.1770 0.8230 0.6461  1 Ga 2.22
F4 0.7730 0.2270 0.0000  1 Ga 2.18
F5 0.2270 0.7730 0.0000  1 Ga 2.18
F6 0.7270 0.7270 0.5000  1 Ga 2.18
Ga1 0.0000 0.0000 0.5000  6 F 2.18-2.22
F7 0.2730 0.2730 0.5000  1 Ga 2.18
F8 0.3230 0.3230 0.8539  1 Ga 2.22
Ba1 0.0000 0.0000 0.1648  6 F 2.59-2.65
F9 0.6770 0.6770 0.8539  1 Ga 2.22
Ba2 0.5000 0.5000 0.6648  6 F 2.59-2.65
F10 0.8230 0.1770 0.3539  1 Ga 2.22
Ba3 0.0000 0.0000 0.8352  6 F 2.59-2.65
Ga2 0.5000 0.5000 0.0000  6 F 2.18-2.22
Ba4 0.5000 0.5000 0.3352  6 F 2.59-2.65
F11 0.6770 0.6770 0.1461  1 Ga 2.22
F12 0.8230 0.1770 0.6461  1 Ga 2.22

Values from the calculation:
For the formation energy without anion corrections, the calculation gives -3.1255 eV per atom. The density of states at the Fermi level is 0.237 states/eV per atom.

No. 7
The following is a DFT calculation (PBE-GGA) of a relaxed BaGaHgF6 crystal.

abc: 6.0981 6.0981 10.3328
angles: 90.00 90.00 120.00
Closest atoms and distances in Å follow each position.
Fractional positions:
Ga1 0.3333 0.6667 0.7500  6 F 1.94
F1 0.6006 0.9169 0.8586  1 Ga 1.94
Hg1 0.6667 0.3333 0.7500  6 F 2.62
F2 0.3994 0.3163 0.3586  1 Ga 1.94
F3 0.3163 0.3994 0.8586  1 Ga 1.94
F4 0.9169 0.3163 0.1414  1 Ga 1.94
F5 0.3163 0.9169 0.6414  1 Ga 1.94
F6 0.3994 0.0831 0.1414  1 Ga 1.94
Hg2 0.3333 0.6667 0.2500  6 F 2.62
Ba1 0.0000 0.0000 0.5000  6 F 2.66
Ga2 0.6667 0.3333 0.2500  6 F 1.94
Ba2 0.0000 0.0000 0.0000  6 F 2.66
F7 0.6837 0.0831 0.3586  1 Ga 1.94
F8 0.6837 0.6006 0.1414  1 Ga 1.94
F9 0.9169 0.6006 0.3586  1 Ga 1.94
F10 0.0831 0.6837 0.8586  1 Ga 1.94
F11 0.6006 0.6837 0.6414  1 Ga 1.94
F12 0.0831 0.3994 0.6414  1 Ga 1.94

Values from the calculation:
For the formation energy without anion corrections, the calculation gives -2.6243 eV per atom. The density of states at the Fermi level is 0.368 states/eV per atom.

No. 8
The following is a DFT calculation (PBE-GGA) of a relaxed BaGaHg2F8 crystal.

abc: 4.8997 5.6501 7.3971
angles: 89.95 89.96 90.87
Closest atoms and distances in Å follow each position.
Fractional positions:
F1 0.5445 0.7378 0.4999  2 Hg 2.46, 1 Ba 2.66, 1 F 2.72
F2 0.3206 0.2002 0.0004  1 Ga 1.92
F3 0.4555 0.2622 0.5001  2 Hg 2.46, 1 Ba 2.66, 1 F 2.72
Hg1 0.4997 0.4998 0.7776  6 F 2.46-2.51
F4 0.1340 0.7949 0.1910  1 Ga 1.95
Hg2 0.5003 0.5002 0.2224  6 F 2.46-2.51
Ga1 0.0000 0.0000 0.0000  6 F 1.92-1.95
Ba1 0.0000 0.0000 0.5000  6 F 2.65-2.66
F5 0.8660 0.2051 0.8090  1 Ga 1.95
F6 0.8651 0.2044 0.1909  1 Ga 1.95
F7 0.6794 0.7998 0.9996  1 Ga 1.92
F8 0.1349 0.7956 0.8091  1 Ga 1.95

Values from the calculation:
For the formation energy without anion corrections, the calculation gives -2.3050 eV per atom. The density of states at the Fermi level is 0.172 states/eV per atom.

No. 9
The following is a DFT calculation (PBE-GGA) of a relaxed BaInGa2F8 crystal.

abc: 5.7017 5.7017 7.5584
angles: 90.00 90.00 120.00
Closest atoms and distances in Å follow each position.
Fractional positions:
In1 0.0000 0.0000 0.5000  6 F 2.14
Ga1 0.3333 0.6667 0.6760  1 F 1.90
F1 0.2625 0.2882 0.3085  1 In 2.14, 1 Ga 2.19
F2 0.9743 0.2625 0.6915  1 In 2.14, 1 Ga 2.19
F3 0.7118 0.9743 0.3085  1 In 2.14, 1 Ga 2.19
F4 0.7375 0.7118 0.6915  1 In 2.14, 1 Ga 2.19
F5 0.3333 0.6667 0.9277  1 Ga 1.90
F6 0.6667 0.3333 0.0723  1 Ga 1.90
F7 0.2882 0.0257 0.6915  1 In 2.14, 1 Ga 2.19
F8 0.0257 0.7375 0.3085  1 In 2.14, 1 Ga 2.19
Ga2 0.6667 0.3333 0.3240  1 F 1.90
Ba1 0.0000 0.0000 0.0000  6 F 2.81

Values from the calculation:
For the formation energy without anion corrections, the calculation gives -2.4554 eV per atom. The density of states at the Fermi level is 0.148 states/eV per atom.

No. 10
The following is a DFT calculation (PBE-GGA) of a relaxed BaGaIr2F crystal.

abc: 4.5888 4.9408 4.5888
angles: 90.00 90.00 90.00
Closest atoms and distances in Å follow each position.
Fractional positions:
F1 0.0000 0.0000 0.0000  4 Ir 2.29, 2 Ba 2.47
Ir1 0.5000 0.0000 0.0000  2 F 2.29
Ba1 0.0000 0.5000 0.0000  2 F 2.47
Ga1 0.5000 0.5000 0.5000  4 Ba 3.24, 8 Ir 3.37
Ir2 0.0000 0.0000 0.5000  2 F 2.29

Values from the calculation:
For the formation energy without anion corrections, the calculation gives 0.4325 eV per atom. The density of states at the Fermi level is 1.067 states/eV per atom.

No. 11
The following is a DFT calculation (PBE-GGA) of a relaxed BaLiGaF2 crystal.

abc: 4.4549 4.9484 4.4549
angles: 90.00 90.00 90.00
Closest atoms and distances in Å follow each position.
Fractional positions:
Ga1 0.0000 0.5000 0.0000  2 Li 2.47
Ba1 0.5000 0.5000 0.5000  4 Ga 3.15, 8 F 3.33
Li1 0.0000 0.0000 0.0000  4 F 2.23, 2 Ga 2.47
F1 0.0000 0.0000 0.5000  2 Li 2.23
F2 0.5000 0.0000 0.0000  2 Li 2.23

Values from the calculation:
For the formation energy without anion corrections, the calculation gives -1.6143 eV per atom. The density of states at the Fermi level is 0.780 states/eV per atom.

No. 12
The following is a DFT calculation (PBE-GGA) of a relaxed Ba2LiGaF crystal.

abc: 5.7659 5.7659 4.2237
angles: 90.00 90.00 90.00
Closest atoms and distances in Å follow each position.
Fractional positions:
F1 0.0000 0.0000 0.0000  2 Li 2.11
Ba1 0.0000 0.5000 0.0000  2 F 2.88
Li1 0.0000 0.0000 0.5000  2 F 2.11
Ba2 0.5000 0.0000 0.0000  2 F 2.88
Ga1 0.5000 0.5000 0.5000  8 Ba 3.57

Values from the calculation:
For the formation energy without anion corrections, the calculation gives -1.2280 eV per atom. The density of states at the Fermi level is 0.555 states/eV per atom.